No. 1
Compound: TlHPt2
Source: the Alexandria database
Functional: PBE-GGA
Structure: optimized geometry

a = 2.9643 Å, b = 2.9643 Å, c = 8.1466 Å
α = 79.52°, β = 79.52°, γ = 60.00°
With the nearest neighbours (Å) after each atom.
Atoms (fractional coordinates):
Tl 0.0000 0.0000 0.0000  2 Pt 2.76, 6 Tl 2.96
Pt 0.8843 0.8843 0.3470  3 H 2.10
H 0.5000 0.5000 0.5000  6 Pt 2.10
Pt 0.1157 0.1157 0.6530  3 H 2.10

=====

No. 2
Compound: TlH2Pt
Source: the Alexandria database
Functional: PBE-GGA
Structure: optimized geometry

a = 4.1030 Å, b = 4.1030 Å, c = 4.1030 Å
α = 60.00°, β = 60.00°, γ = 60.00°
With the nearest neighbours (Å) after each atom.
Atoms (fractional coordinates):
Pt 0.0000 0.0000 0.0000  8 H 2.51
H 0.7500 0.7500 0.7500  4 Tl 2.51, 4 Pt 2.51
Tl 0.5000 0.5000 0.5000  8 H 2.51
H 0.2500 0.2500 0.2500  4 Tl 2.51, 4 Pt 2.51

=====

No. 3
Compound: TlH2Pt
Source: the Alexandria database
Functional: PBE-GGA
Structure: optimized geometry

a = 3.1068 Å, b = 3.1068 Å, c = 6.5965 Å
α = 76.38°, β = 76.38°, γ = 60.00°
With the nearest neighbours (Å) after each atom.
Atoms (fractional coordinates):
H 0.7013 0.7013 0.8961  3 Pt 1.91
H 0.2987 0.2987 0.1039  3 Pt 1.91
Pt 0.0000 0.0000 0.0000  6 H 1.91
Tl 0.5000 0.5000 0.5000  6 H 3.09, 6 Tl 3.11

=====

No. 4
Compound: TlH2Pt
Source: the Alexandria database
Functional: PBE-GGA
Structure: optimized geometry

a = 3.0944 Å, b = 3.0944 Å, c = 6.6304 Å
α = 76.51°, β = 76.51°, γ = 60.00°
With the nearest neighbours (Å) after each atom.
Atoms (fractional coordinates):
Tl 0.4998 0.4998 0.5005  6 H 3.08-3.09, 6 Tl 3.09, 1 Pt 3.19
H 0.2980 0.2980 0.1060  3 Pt 1.91
Pt 0.6665 0.6665 0.0005  6 H 1.91
H 0.0357 0.0357 0.8929  3 Pt 1.91

=====

| no. | uncorrected energy (eV per atom) | energy relative to the lowest polymorph listed for this composition (kJ/mol of atoms) |
| --- | --- | --- |
| 1 | -4.162 | 24.3 |
| 2 | -2.878 | 93.0 |
| 3 | -3.630 | 20.5 |
| 4 | -3.636 | 19.9 |